CaEr2Zn2In2: optimized geometry, GGA-PBE.

Summary:
**Symmetry**: R-3m, No. 166
**Formation energy**: -0.27 eV per atom

Unit cell a=4.7401 b=4.7401 c=9.6086 alpha=75.72 beta=75.72 gamma=60.00
Fractional coordinates of all 7 atoms:
1 Ca 0.0000 0.0000 0.0000
2 Er 0.1296 0.1296 0.6111
3 Er 0.8704 0.8704 0.3889
4 Zn 0.5834 0.5834 0.2498
5 Zn 0.4166 0.4166 0.7502
6 In 0.7424 0.7424 0.7727
7 In 0.2576 0.2576 0.2273

=====

HgPt2Br: optimized geometry, GGA-PBE.

Summary:
**Symmetry**: I-42d, No. 122

Unit cell a=4.1629 b=4.1629 c=9.8509 alpha=77.80 beta=77.80 gamma=90.00
Fractional coordinates of all 8 atoms:
1 Br 0.5000 0.5000 0.0000
2 Br 0.2500 0.7500 0.5000
3 Hg 0.0000 0.0000 0.0000
4 Hg 0.7500 0.2500 0.5000
5 Pt 0.6161 0.1250 0.2500
6 Pt 0.1339 0.6250 0.2500
7 Pt 0.3750 0.3839 0.7500
8 Pt 0.8750 0.8661 0.7500

=====

PmGdIn2: optimized geometry, GGA-PBE.

Summary:
**Symmetry**: R-3m, No. 166
**Formation energy**: -0.32 eV per atom

Unit cell a=3.7611 b=3.7611 c=10.0732 alpha=79.24 beta=79.24 gamma=60.00
Site moments in Bohr magnetons follow the coordinates.
Fractional coordinates of all 4 atoms:
1 Gd 0.0000 0.0000 0.0000  7.08
2 In 0.7490 0.7490 0.7529  -0.02
3 In 0.2510 0.2510 0.2471  -0.02
4 Pm 0.5000 0.5000 0.5000  -0.07

=====

CsInAg3: optimized geometry, GGA-PBE.

Summary:
**Symmetry**: Pm-3m, No. 221
**Formation energy**: 0.14 eV per atom

Unit cell a=5.4939 b=5.4939 c=5.4939 alpha=90.00 beta=90.00 gamma=90.00
Fractional coordinates of all 5 atoms:
1 Cs 0.5000 0.5000 0.5000
2 Ag 0.0000 0.5000 0.0000
3 Ag 0.0000 0.0000 0.5000
4 Ag 0.5000 0.0000 0.0000
5 In 0.0000 0.0000 0.0000

=====

ScCd2Hg2: optimized geometry, GGA-PBE.

Summary:
**Symmetry**: I4/mmm, No. 139
**Formation energy**: -0.02 eV per atom

Unit cell a=4.1546 b=4.1546 c=7.4430 alpha=73.79 beta=73.79 gamma=90.00
Fractional coordinates of all 5 atoms:
1 Sc 0.0000 0.0000 0.0000
2 Hg 0.3998 0.3998 0.2003
3 Hg 0.6002 0.6002 0.7997
4 Cd 0.7500 0.2500 0.5000
5 Cd 0.2500 0.7500 0.5000

=====

CaNd5In3: optimized geometry, GGA-PBE.

Summary:
**Symmetry**: P6_3/mcm, No. 193
**Formation energy**: -0.37 eV per atom

Unit cell a=6.9385 b=9.6321 c=9.6314 alpha=120.00 beta=90.00 gamma=90.00
Fractional coordinates of all 18 atoms:
1 Ca 0.0000 0.0000 0.0000
2 Ca 0.5000 0.0000 0.0000
3 Nd 0.0000 0.6666 0.3333
4 Nd 0.5000 0.3334 0.6667
5 Nd 0.0000 0.3334 0.6667
6 Nd 0.5000 0.6666 0.3333
7 Nd 0.7500 0.6651 0.6651
8 Nd 0.7500 0.0000 0.3349
9 Nd 0.7500 0.3349 0.0000
10 Nd 0.2500 0.3349 0.3349
11 Nd 0.2500 0.0000 0.6651
12 Nd 0.2500 0.6651 0.0000
13 In 0.7500 0.3316 0.3316
14 In 0.7500 0.0000 0.6684
15 In 0.7500 0.6683 0.0000
16 In 0.2500 0.6684 0.6684
17 In 0.2500 0.0000 0.3316
18 In 0.2500 0.3317 0.0000

=====

Li2TbTlBr6: optimized geometry, GGA-PBE.

Summary:
**Symmetry**: R3, No. 146

Unit cell a=7.3084 b=7.3068 c=7.8945 alpha=62.44 beta=62.42 gamma=59.98
Fractional coordinates of all 10 atoms:
1 Li 0.5171 0.5172 0.4492
2 Li 0.0083 0.0088 0.9746
3 Tb 0.3226 0.3223 0.0327
4 Tl 0.8019 0.8018 0.5939
5 Br 0.5938 0.2601 0.2341
6 Br 0.2602 0.9118 0.2343
7 Br 0.9118 0.5937 0.2342
8 Br 0.3354 0.7402 0.7542
9 Br 0.7404 0.1701 0.7539
10 Br 0.1702 0.3355 0.7542

=====

GaW: optimized geometry, GGA-PBE.

Summary:
**Symmetry**: F-43m, No. 216
**Formation energy**: 2.10 eV per atom

Unit cell a=5.7222 b=5.7222 c=5.7222 alpha=90.00 beta=90.00 gamma=90.00
Fractional coordinates of all 8 atoms:
1 Ga 0.2500 0.2500 0.2500
2 Ga 0.2500 0.7500 0.7500
3 Ga 0.7500 0.2500 0.7500
4 Ga 0.7500 0.7500 0.2500
5 W 0.0000 0.0000 0.0000
6 W 0.0000 0.5000 0.5000
7 W 0.5000 0.0000 0.5000
8 W 0.5000 0.5000 0.0000

=====

AcHf2FeN4: optimized geometry, GGA-PBE.

Summary:
**Symmetry**: Cmcm, No. 63

Unit cell a=3.3385 b=5.8653 c=11.2138 alpha=90.00 beta=90.00 gamma=106.53
Site moments in Bohr magnetons follow the coordinates.
Fractional coordinates of all 16 atoms:
1 Ac 0.0977 0.1953 0.7500  0.03
2 Ac 0.9023 0.8047 0.2500  0.03
3 Hf 0.3659 0.7317 0.5519  -0.04
4 Hf 0.6341 0.2683 0.0519  -0.04
5 Hf 0.6341 0.2683 0.4481  -0.04
6 Hf 0.3659 0.7317 0.9481  -0.04
7 Fe 0.8324 0.6648 0.7500  2.24
8 Fe 0.1676 0.3352 0.2500  2.24
9 N 0.2619 0.5239 0.1067  0.08
10 N 0.7381 0.4761 0.6067  0.08
11 N 0.7381 0.4761 0.8933  0.08
12 N 0.2619 0.5239 0.3933  0.08
13 N 0.0000 0.0000 0.5000  0.03
14 N 0.0000 0.0000 0.0000  0.03
15 N 0.4265 0.8530 0.7500  0.09
16 N 0.5735 0.1470 0.2500  0.09

=====

BaAsI6: optimized geometry, GGA-PBE.

Summary:
**Symmetry**: P-1, No. 2

Unit cell a=7.8446 b=7.8641 c=8.1092 alpha=61.09 beta=61.33 gamma=60.18
Fractional coordinates of all 8 atoms:
1 Ba 0.5000 0.5000 0.5000
2 As 0.0000 0.0000 0.0000
3 I 0.0269 0.4062 0.7598
4 I 0.8020 0.0265 0.7632
5 I 0.5954 0.1949 0.2386
6 I 0.1980 0.9735 0.2368
7 I 0.9731 0.5938 0.2402
8 I 0.4046 0.8051 0.7614

=====

Tb5Pm2Sm6: optimized geometry, GGA-PBE.

Summary:
**Symmetry**: Pbam, No. 55
**Formation energy**: 0.10 eV per atom

Unit cell a=3.6297 b=11.7944 c=20.4971 alpha=90.00 beta=90.00 gamma=90.00
Fractional coordinates of all 26 atoms:
1 Tb 0.5000 0.3009 0.4460
2 Tb 0.5000 0.6991 0.5540
3 Tb 0.5000 0.8009 0.0540
4 Tb 0.5000 0.1991 0.9460
5 Tb 0.5000 0.5904 0.2765
6 Tb 0.5000 0.4096 0.7235
7 Tb 0.5000 0.0904 0.2235
8 Tb 0.5000 0.9096 0.7765
9 Tb 0.5000 0.5000 0.0000
10 Tb 0.5000 0.0000 0.5000
11 Pm 0.0000 0.3307 0.2859
12 Pm 0.0000 0.6693 0.7141
13 Pm 0.0000 0.8307 0.2141
14 Pm 0.0000 0.1693 0.7859
15 Sm 0.0000 0.0795 0.3662
16 Sm 0.0000 0.9205 0.6338
17 Sm 0.0000 0.5795 0.1338
18 Sm 0.0000 0.4205 0.8662
19 Sm 0.5000 0.3228 0.1302
20 Sm 0.5000 0.6772 0.8698
21 Sm 0.5000 0.8228 0.3698
22 Sm 0.5000 0.1772 0.6302
23 Sm 0.0000 0.5597 0.4218
24 Sm 0.0000 0.4403 0.5782
25 Sm 0.0000 0.0597 0.0782
26 Sm 0.0000 0.9403 0.9218

=====

BaTlCdHg: optimized geometry, GGA-PBE.

Summary:
**Symmetry**: F-43m, No. 216
**Formation energy**: -0.31 eV per atom

Unit cell a=5.6070 b=5.6070 c=5.6070 alpha=60.00 beta=60.00 gamma=60.00
Fractional coordinates of all 4 atoms:
1 Tl 0.0000 0.0000 0.0000
2 Cd 0.7500 0.7500 0.7500
3 Hg 0.2500 0.2500 0.2500
4 Ba 0.5000 0.5000 0.5000

=====

Ca2ReCl: optimized geometry, GGA-PBE.

Summary:
**Symmetry**: R-3m, No. 166

Unit cell a=8.8850 b=8.8850 c=8.8850 alpha=22.48 beta=22.48 gamma=22.48
Site moments in Bohr magnetons follow the coordinates.
Fractional coordinates of all 4 atoms:
1 Re 0.7500 0.7500 0.7500  0.67
2 Ca 0.0003 0.0003 0.0003  0.02
3 Ca 0.4997 0.4997 0.4997  0.02
4 Cl 0.2500 0.2500 0.2500  0.00

=====

AlIn2GaS6: optimized geometry, GGA-PBE.

Summary:
**Symmetry**: C2/c, No. 15

Unit cell a=6.0154 b=9.8529 c=9.8529 alpha=107.07 beta=72.10 gamma=72.10
Fractional coordinates of all 20 atoms:
1 Al 0.2500 0.8242 0.1758
2 Al 0.7500 0.1758 0.8242
3 In 0.3171 0.7133 0.5454
4 In 0.1829 0.4546 0.2867
5 In 0.6829 0.2867 0.4546
6 In 0.8171 0.5454 0.7133
7 Ga 0.2500 0.1811 0.8189
8 Ga 0.7500 0.8189 0.1811
9 S 0.1106 0.9841 0.7977
10 S 0.3894 0.2023 0.0159
11 S 0.8894 0.0159 0.2023
12 S 0.6106 0.7977 0.9841
13 S 0.3611 0.8821 0.3800
14 S 0.1389 0.6200 0.1179
15 S 0.6389 0.1179 0.6200
16 S 0.8611 0.3800 0.8821
17 S 0.8871 0.7074 0.5538
18 S 0.6129 0.4462 0.2926
19 S 0.1129 0.2926 0.4462
20 S 0.3871 0.5538 0.7074

=====

BaLi3Mn: optimized geometry, GGA-PBE.

Summary:
**Symmetry**: Pm-3m, No. 221
**Formation energy**: 0.43 eV per atom

Unit cell a=5.3043 b=5.3043 c=5.3043 alpha=90.00 beta=90.00 gamma=90.00
Site moments in Bohr magnetons follow the coordinates.
Fractional coordinates of all 5 atoms:
1 Mn 0.0000 0.0000 0.0000  4.04
2 Ba 0.5000 0.5000 0.5000  -0.09
3 Li 0.0000 0.5000 0.0000  0.00
4 Li 0.0000 0.0000 0.5000  -0.01
5 Li 0.5000 0.0000 0.0000  0.00

=====

Er2TcN: optimized geometry, GGA-PBE.

Summary:
**Symmetry**: R-3m, No. 166

Unit cell a=3.2673 b=3.2673 c=8.3404 alpha=78.70 beta=78.70 gamma=60.00
Site moments in Bohr magnetons follow the coordinates.
Fractional coordinates of all 4 atoms:
1 N 0.5000 0.5000 0.5000  0.01
2 Tc 0.0000 0.0000 0.0000  0.90
3 Er 0.1103 0.1103 0.6692  -0.11
4 Er 0.8897 0.8897 0.3308  -0.11

=====

Li3Th2AlCu12: optimized geometry, GGA-PBE.

Summary:
**Symmetry**: R-3m, No. 166
**Formation energy**: 0.26 eV per atom

Unit cell a=7.2979 b=7.2979 c=7.2979 alpha=70.65 beta=70.65 gamma=70.65
Fractional coordinates of all 18 atoms:
1 Li 0.5000 0.0000 0.0000
2 Li 0.0000 0.5000 0.0000
3 Li 0.0000 0.0000 0.5000
4 Th 0.5968 0.5968 0.5968
5 Th 0.4032 0.4032 0.4032
6 Al 0.0000 0.0000 0.0000
7 Cu 0.3914 0.3914 0.0041
8 Cu 0.8431 0.8431 0.3353
9 Cu 0.3353 0.8431 0.8431
10 Cu 0.0041 0.3914 0.3914
11 Cu 0.8431 0.3353 0.8431
12 Cu 0.3914 0.0041 0.3914
13 Cu 0.6086 0.6086 0.9959
14 Cu 0.1569 0.1569 0.6647
15 Cu 0.6647 0.1569 0.1569
16 Cu 0.9959 0.6086 0.6086
17 Cu 0.1569 0.6647 0.1569
18 Cu 0.6086 0.9959 0.6086

=====

Hf2BePt2: optimized geometry, GGA-PBE.

Summary:
**Symmetry**: I4/mmm, No. 139
**Formation energy**: -0.12 eV per atom

Unit cell a=3.7292 b=3.7292 c=7.5047 alpha=75.61 beta=75.61 gamma=90.00
Fractional coordinates of all 5 atoms:
1 Be 0.0000 0.0000 0.0000
2 Hf 0.3934 0.3934 0.2131
3 Hf 0.6066 0.6066 0.7869
4 Pt 0.7500 0.2500 0.5000
5 Pt 0.2500 0.7500 0.5000

=====

NpGeSe2: optimized geometry, GGA-PBE.

Summary:
**Symmetry**: P1, No. 1

Unit cell a=4.2350 b=4.2338 c=7.0278 alpha=107.67 beta=90.01 gamma=120.01
Site moments in Bohr magnetons follow the coordinates.
Fractional coordinates of all 4 atoms:
1 Np 0.6141 0.9242 0.5523  4.25
2 Ge 0.0004 0.9262 0.0521  0.11
3 Se 0.8636 0.4296 0.3080  -0.03
4 Se 0.3585 0.4189 0.7966  -0.03

=====

SrSiCl4: optimized geometry, GGA-PBE.

Summary:
**Symmetry**: F-43m, No. 216

Unit cell a=6.0119 b=6.0119 c=6.0119 alpha=60.00 beta=60.00 gamma=60.00
Site moments in Bohr magnetons follow the coordinates.
Fractional coordinates of all 6 atoms:
1 Sr 0.0000 0.0000 0.0000  -0.03
2 Si 0.7500 0.7500 0.7500  -0.31
3 Cl 0.8748 0.3751 0.3751  -0.15
4 Cl 0.3751 0.3751 0.8748  -0.15
5 Cl 0.3751 0.8748 0.3751  -0.15
6 Cl 0.3751 0.3751 0.3751  -0.15

=====

| no. | total energy (eV per formula unit) | magnetization (μB/cell) |
| --- | --- | --- |
| 1 | -21.059 | 0.0 |
| 2 | -12.233 | 0.0 |
| 3 | -25.583 | 7.0 |
| 4 | -11.424 | 0.0 |
| 5 | -8.857 | 0.0 |
| 6 | -37.429 | 0.0 |
| 7 | -35.978 | 0.0 |
| 8 | -11.784 | 0.0 |
| 9 | -75.871 | 5.3 |
| 10 | -20.684 | 0.0 |
| 11 | -59.704 | 0.0 |
| 12 | -6.757 | 0.0 |
| 13 | -18.993 | 0.8 |
| 14 | -43.678 | 0.0 |
| 15 | -14.680 | 3.8 |
| 16 | -28.760 | 0.7 |
| 17 | -68.881 | 0.0 |
| 18 | -36.337 | 0.0 |
| 19 | -26.583 | 4.9 |
| 20 | -15.228 | 1.8 |